# 1
Compound: FeNi2Pd2
Source: Alexandria via LeMat-Bulk
Functional: PBE
Structure: relaxed

Cell lengths 7.1399, 7.1399, 2.7434 Å; angles 90.00, 90.00, 90.00 degrees
With the nearest neighbours (Å) after each atom.
Space group P4/mbm (No. 127)
One atom of each set of equivalent atoms:
Fe 0.0000 0.0000 0.0000 [2 per cell]  2 Fe 2.74, 4 Pd 2.77, 8 Ni 3.01
Ni 0.1611 0.3389 0.5000 [4 per cell]  6 Pd 2.45-2.54, 2 Ni 2.74
Pd 0.1375 0.6375 0.0000 [4 per cell]  6 Ni 2.45-2.54, 2 Pd 2.74

Calculated values
Energy of formation from the pure elements: 25 kJ/mol of atoms
Excess energy over the best structure of this formula in the dataset: 121 meV per atom



# 2
Compound: SmTmGe2Pt5
Source: Alexandria via LeMat-Bulk
Functional: PBE
Structure: relaxed

Cell lengths 4.2868, 4.2868, 9.0112 Å; angles 90.00, 90.00, 90.00 degrees
With the nearest neighbours (Å) after each atom.
Space group P4/mmm (No. 123)
One atom of each set of equivalent atoms:
Sm 0.0000 0.0000 0.0000 [1 per cell]  12 Pt 2.99-3.03
Tm 0.0000 0.0000 0.5000 [1 per cell]  8 Pt 3.23, 8 Ge 3.26
Ge 0.5000 0.5000 0.3666 [2 per cell]  1 Ge 2.40, 4 Pt 2.46
Pt 0.0000 0.5000 0.2315 [4 per cell]  2 Ge 2.46
Pt 0.5000 0.5000 0.0000 [1 per cell]  8 Pt 2.99, 4 Sm 3.03, 2 Ge 3.30

Calculated values
Energy of formation from the pure elements: -86 kJ/mol of atoms



# 3
Compound: La2Nd5SmDy
Source: Alexandria via LeMat-Bulk
Functional: PBE
Structure: relaxed

Cell lengths 8.7535, 8.7535, 16.5791 Å; angles 90.00, 90.00, 90.00 degrees
With the nearest neighbours (Å) after each atom.
Space group I4/mcm (No. 140)
One atom of each set of equivalent atoms:
La 0.1204 0.3796 0.0000 [8 per cell]  1 La 2.98, 2 Nd 3.10
Nd 0.0000 0.0000 0.0000 [4 per cell]  4 La 3.49
Nd 0.2187 0.2813 0.3567 [16 per cell]  1 La 3.10, 1 Dy 3.23
Sm 0.0000 0.0000 0.2500 [4 per cell]  8 Nd 3.59
Dy 0.0000 0.5000 0.2500 [4 per cell]  4 Nd 3.23

Calculated values
Energy of formation from the pure elements: 24 kJ/mol of atoms



# 4
Compound: La2HfRh
Source: Alexandria via LeMat-Bulk
Functional: PBE
Structure: relaxed

Cell lengths 7.4182, 7.4182, 7.4182 Å; angles 90.00, 90.00, 90.00 degrees
With the nearest neighbours (Å) after each atom.
Space group Fm-3m (No. 225)
One atom of each set of equivalent atoms:
La 0.2500 0.2500 0.2500 [8 per cell]  4 Rh 3.21, 4 Hf 3.21
Hf 0.0000 0.0000 0.0000 [4 per cell]  8 La 3.21
Rh 0.0000 0.0000 0.5000 [4 per cell]  8 La 3.21

Calculated values
Energy of formation from the pure elements: 10 kJ/mol of atoms
Excess energy over the best structure of this formula in the dataset: 46 meV per atom